Density functional theory data (PBE-GGA) for a geometry-optimized HgAsSeO6 structure.

a b c (Å): 5.071 5.071 5.124
angles (deg): 90.00 90.00 60.00
Element x y z (fractional)
O  0.010  0.617  0.708
Hg  0.000  0.000  0.000
O  0.374  0.010  0.708
Se  0.667  0.667  0.500
As  0.333  0.333  0.500
O  0.617  0.374  0.708
O  0.374  0.617  0.292
O  0.010  0.374  0.292
O  0.617  0.010  0.292

Output
- Magnetization: 0.00 μB per cell
- Formation energy from raw total energies: -0.653 eV/atom

---

Density functional theory data (PBE-GGA) for a geometry-optimized NdPRh3 structure.

a b c (Å): 4.496 4.496 4.496
angles (deg): 90.00 90.00 90.00
Element x y z (fractional)
Nd  0.500  0.500  0.500
Rh  0.500  0.000  0.000
Rh  0.000  0.000  0.500
Rh  0.000  0.500  0.000
P  0.000  0.000  0.000

Output
- Polymorph energy (0 for the lowest one): 200 meV/atom
- Magnetization: 0.00 μB per cell
- Energy of formation: -677 meV/atom

---

Density functional theory data (PBE-GGA) for a geometry-optimized BiPt structure.

a b c (Å): 11.891 4.098 5.610
angles (deg): 90.00 90.00 90.00
Element x y z (fractional)
Bi  0.500  0.000  0.412
Bi  0.293  0.500  0.682
Pt  0.376  0.500  0.159
Pt  0.624  0.500  0.159
Pt  0.000  0.500  0.407
Bi  0.207  0.000  0.182
Bi  0.000  0.500  0.912
Bi  0.793  0.000  0.182
Pt  0.124  0.000  0.659
Pt  0.876  0.000  0.659
Bi  0.707  0.500  0.682
Pt  0.500  0.000  0.907

Output
- Magnetization: 0.00 μB per cell
- Energy of formation: -148 meV/atom